[1]
Entry from Alexandria via LeMat-Bulk: a relaxed structure of Ca2MgCu (PBE-GGA).

Values from the calculation:
Calculated volume, Å³/cell: 108.2
Fermi-level density of states, states/eV per atom: 0.892
Energy of formation from the pure elements, meV per atom: -30
Crystal system: orthorhombic

Lattice parameters (Å, degrees): 6.4597 6.4597 6.4597 147.68 130.75 60.14
Sites, in units of the cell vectors:
Ca: 0.9935 0.9935 0.0000
Ca: 0.2947 0.7947 0.5000
Mg: 0.6961 0.1961 0.5000
Cu: 0.5157 0.5157 0.0000



[2]
Entry from Alexandria via LeMat-Bulk: a relaxed structure of CaMg2Cu (PBE-GGA).

Values from the calculation:
Calculated volume, Å³/cell: 91.4
Fermi-level density of states, states/eV per atom: 0.625
Energy of formation from the pure elements, meV per atom: -45
Crystal system: monoclinic

Lattice parameters (Å, degrees): 6.1074 6.1074 5.2142 64.63 64.63 31.66
Sites, in units of the cell vectors:
Cu: 0.2500 0.2500 0.2500
Mg: 0.5451 0.5451 0.4542
Ca: 0.7500 0.7500 0.7500
Mg: 0.9549 0.9549 0.0458



[3]
Entry from Alexandria via LeMat-Bulk: a relaxed structure of Ca2Mg4Cu (PBE-GGA).

Values from the calculation:
Energy above the most stable polymorph in this dataset, eV/atom: 0.283
Calculated volume, Å³/cell: 217.5
Fermi-level density of states, states/eV per atom: 0.829
Energy of formation from the pure elements, meV per atom: 264
Crystal system: tetragonal

Lattice parameters (Å, degrees): 6.8486 6.8486 6.8486 122.61 122.61 85.54
Sites, in units of the cell vectors:
Mg: 0.2723 0.2723 0.5447
Mg: 0.2723 0.7277 0.0000
Ca: 0.7500 0.2500 0.5000
Mg: 0.7277 0.2723 0.0000
Mg: 0.7277 0.7277 0.4553
Cu: 0.0000 0.0000 0.0000
Ca: 0.2500 0.7500 0.5000



[4]
Entry from Alexandria via LeMat-Bulk: a relaxed structure of Ca2MgCu2 (PBE-GGA).

Values from the calculation:
Calculated volume, Å³/cell: 244.4
Fermi-level density of states, states/eV per atom: 0.538
Energy of formation from the pure elements, meV per atom: -58
Crystal system: monoclinic

Lattice parameters (Å, degrees): 4.4213 5.1240 10.8356 95.49 90.00 90.00
Sites, in units of the cell vectors:
Ca: 0.7500 0.7327 0.9128
Cu: 0.2500 0.2068 0.8129
Ca: 0.7500 0.3347 0.3619
Mg: 0.2500 0.8136 0.3182
Cu: 0.2500 0.1299 0.5260
Cu: 0.7500 0.8701 0.4740
Mg: 0.7500 0.1864 0.6818
Cu: 0.7500 0.7932 0.1871
Ca: 0.2500 0.2673 0.0872
Ca: 0.2500 0.6653 0.6381



Per-record total moment, μB per atom: 0.000 0.000 0.000 0.000